Entry 1:
Density functional theory data (PBE-GGA) for an optimized crystal structure of ScCuNi.

Cell: 3.999 8.820 5.068 Å, 90.00 90.00 90.00°
Space group Cmcm (No. 63)
Unique sites:
Sc (0.000, 0.205, 0.250)
Cu (0.000, 0.500, 0.000)
Ni (0.000, 0.092, 0.750)

Calculated formation energy: -0.379 eV per atom

***

Entry 2:
Density functional theory data (PBE-GGA) for an optimized crystal structure of La2P3Pd4Pb.

Cell: 4.239 4.239 10.961 Å, 90.00 90.00 90.00°
Space group P-4m2 (No. 115)
Unique sites:
La (0.000, 0.500, 0.228)
P (0.000, 0.500, 0.875)
P (0.500, 0.500, 0.500)
Pd (0.000, 0.000, 0.000)
Pd (0.000, 0.500, 0.661)
Pd (0.500, 0.500, 0.000)
Pb (0.000, 0.000, 0.500)

Calculated formation energy: -0.846 eV per atom

***

Entry 3:
Density functional theory data (PBE-GGA) for an optimized crystal structure of Li2CoAs.

Cell: 3.266 3.787 8.325 Å, 90.00 90.00 90.00°
Space group Immm (No. 71)
Unique sites:
Li (0.000, 0.000, 0.250)
Co (0.000, 0.500, 0.000)
As (0.000, 0.500, 0.500)

Calculated formation energy: -0.199 eV per atom

***

Entry 4:
Density functional theory data (PBE-GGA) for an optimized crystal structure of Ca2Zr2H.

Cell: 6.137 6.137 6.402 Å, 90.00 90.00 90.00°
Space group P4/mbm (No. 127)
Unique sites:
Ca (0.198, 0.302, 0.000)
Zr (0.157, 0.657, 0.500)
H (0.000, 0.000, 0.000)

Offset from the most stable computed form: 0 meV/atom

***

Entry 5:
Density functional theory data (PBE-GGA) for an optimized crystal structure of LiYHg5.

Cell: 6.748 8.185 6.486 Å, 90.00 90.00 90.00°
Space group Cmmm (No. 65)
Unique sites:
Li (0.000, 0.000, 0.000)
Y (0.000, 0.500, 0.500)
Hg (0.000, 0.500, 0.000)
Hg (0.250, 0.250, 0.253)

Calculated formation energy: -0.219 eV per atom

***

Entry 6:
Density functional theory data (PBE-GGA) for an optimized crystal structure of La3ScNi.

Cell: 5.483 5.483 5.483 Å, 90.00 90.00 90.00°
Space group Pm-3m (No. 221)
Unique sites:
La (0.000, 0.000, 0.500)
Sc (0.500, 0.500, 0.500)
Ni (0.000, 0.000, 0.000)

Calculated formation energy: 0.080 eV per atom

***

no.,volume (Å³/cell)
1,178.8
2,196.9
3,102.9
4,241.1
5,358.3
6,164.9